[1]
The following is a DFT calculation (GGA-PBEsol) of crystalline SiSb3O at its relaxed geometry.

Calculated values
uncorrected formation energy = 159 meV per atom
M_tot = 0.000 μB/atom
space group = Pm-3m, No. 221

Geometry as POSCAR:
```
SiSb3O
1.0
4.701 0.000 0.000
0.000 4.701 0.000
0.000 0.000 4.701
O Si Sb
1 1 3
direct
0.000 0.000 0.000
0.500 0.500 0.500
0.000 0.000 0.500
0.500 0.000 0.000
0.000 0.500 0.000
```

***

[2]
The following is a DFT calculation (GGA-PBEsol) of crystalline Si2SbO6 at its relaxed geometry.

Calculated values
uncorrected formation energy = -2197 meV per atom
M_tot = 0.000 μB/atom
space group = C2/c, No. 15

Geometry as POSCAR:
```
Si2SbO6
1.0
5.431 -0.010 -0.010
1.695 6.532 -0.030
1.695 0.045 6.532
Si O Sb
4 12 2
direct
0.263 0.619 0.778
0.237 0.222 0.381
0.737 0.381 0.222
0.763 0.778 0.619
0.648 0.945 0.814
0.188 0.105 0.599
0.688 0.599 0.105
0.464 0.346 0.369
0.312 0.401 0.895
0.148 0.814 0.945
0.352 0.055 0.186
0.964 0.369 0.346
0.852 0.186 0.055
0.536 0.654 0.631
0.036 0.631 0.654
0.812 0.895 0.401
0.250 0.120 0.880
0.750 0.880 0.120
```

***

[3]
The following is a DFT calculation (GGA-PBEsol) of crystalline Si2SbO at its relaxed geometry.

Calculated values
uncorrected formation energy = -183 meV per atom
M_tot = 0.000 μB/atom
space group = I-42d, No. 122

Geometry as POSCAR:
```
Si2SbO
1.0
-4.287 1.398 1.348
-1.911 -3.616 -2.327
3.557 -2.436 5.622
Si O Sb
4 2 2
direct
0.125 0.276 0.750
0.625 0.474 0.750
0.724 0.375 0.250
0.526 0.875 0.250
0.750 0.250 0.500
0.500 0.500 0.000
0.000 0.000 0.000
0.250 0.750 0.500
```

***

[4]
The following is a DFT calculation (GGA-PBEsol) of crystalline Si3SbO at its relaxed geometry.

Calculated values
uncorrected formation energy = 1814 meV per atom
M_tot = 0.269 μB/atom
space group = Pm-3m, No. 221

Geometry as POSCAR:
```
Si3SbO
1.0
5.114 0.000 0.000
0.000 5.114 0.000
0.000 0.000 5.114
Si O Sb
3 1 1
direct
0.500 0.000 0.000
0.000 0.000 0.500
0.000 0.500 0.000
0.500 0.500 0.500
0.000 0.000 0.000
```

***

[5]
The following is a DFT calculation (GGA-PBEsol) of crystalline Sm9Sb5O5 at its relaxed geometry.

Calculated values
uncorrected formation energy = -2193 meV per atom
M_tot = 0.000 μB/atom
space group = P4/n, No. 85

Geometry as POSCAR:
```
Sm9Sb5O5
1.0
8.970 0.000 0.000
0.000 9.972 0.000
0.000 0.000 9.972
Sb Sm O
10 18 10
direct
0.686 0.000 0.500
0.300 0.696 0.403
0.700 0.403 0.304
0.300 0.903 0.804
0.300 0.097 0.196
0.700 0.804 0.097
0.300 0.304 0.597
0.314 0.500 0.000
0.700 0.597 0.696
0.700 0.196 0.903
0.001 0.726 0.918
0.656 0.295 0.604
0.001 0.418 0.774
0.656 0.104 0.205
0.656 0.705 0.396
0.344 0.396 0.295
0.001 0.582 0.226
0.999 0.774 0.582
0.001 0.274 0.082
0.999 0.918 0.274
0.999 0.082 0.726
0.669 0.500 0.000
0.331 0.000 0.500
0.344 0.795 0.104
0.999 0.226 0.418
0.656 0.896 0.795
0.344 0.205 0.896
0.344 0.604 0.705
0.089 0.225 0.879
0.934 0.500 0.000
0.089 0.379 0.275
0.911 0.121 0.225
0.911 0.879 0.775
0.089 0.621 0.725
0.911 0.275 0.621
0.911 0.725 0.379
0.066 0.000 0.500
0.089 0.775 0.121
```

***

[6]
The following is a DFT calculation (GGA-PBEsol) of crystalline Sr2SmSbO6 at its relaxed geometry.

Calculated values
uncorrected formation energy = -2688 meV per atom
M_tot = 0.000 μB/atom
space group = P2_1/c, No. 14

Geometry as POSCAR:
```
Sr2SmSbO6
1.0
5.836 0.000 0.002
0.000 5.942 0.000
0.048 0.000 8.308
Sr O Sm Sb
4 12 2 2
direct
0.011 0.959 0.750
0.489 0.459 0.750
0.989 0.041 0.250
0.511 0.541 0.250
0.690 0.274 0.451
0.310 0.726 0.549
0.190 0.226 0.951
0.273 0.694 0.956
0.773 0.806 0.456
0.727 0.306 0.044
0.227 0.194 0.544
0.810 0.774 0.049
0.913 0.529 0.768
0.413 0.971 0.268
0.087 0.471 0.232
0.587 0.029 0.732
0.500 0.000 0.000
0.000 0.500 0.500
0.000 0.500 0.000
0.500 0.000 0.500
```

***

[7]
The following is a DFT calculation (GGA-PBEsol) of crystalline Sr2SmSbO6 at its relaxed geometry.

Calculated values
uncorrected formation energy = -2613 meV per atom
M_tot = 0.000 μB/atom
space group = Fm-3m, No. 225

Geometry as POSCAR:
```
Sr2SmSbO6
1.0
5.947 0.000 0.000
2.974 5.151 0.000
2.974 1.717 4.856
O Sm Sr Sb
6 1 2 1
direct
0.735 0.735 0.265
0.265 0.265 0.735
0.265 0.735 0.265
0.265 0.735 0.735
0.735 0.265 0.265
0.735 0.265 0.735
0.000 0.000 0.000
0.250 0.250 0.250
0.750 0.750 0.750
0.500 0.500 0.500
```

***

[8]
The following is a DFT calculation (GGA-PBEsol) of crystalline SnSbO2 at its relaxed geometry.

Calculated values
uncorrected formation energy = -338 meV per atom
M_tot = 0.000 μB/atom
space group = Fm-3m, No. 225

Geometry as POSCAR:
```
SnSbO2
1.0
-4.262 0.688 -0.470
-2.746 -1.142 3.164
-1.980 3.056 2.365
O Sn Sb
2 1 1
direct
0.750 0.750 0.750
0.250 0.250 0.250
0.000 0.000 0.000
0.500 0.500 0.500
```

***

[9]
The following is a DFT calculation (GGA-PBEsol) of crystalline SnSbO2 at its relaxed geometry.

Calculated values
uncorrected formation energy = -597 meV per atom
M_tot = 0.000 μB/atom
space group = I-42d, No. 122

Geometry as POSCAR:
```
SnSbO2
1.0
5.308 0.000 0.000
0.000 5.308 0.000
-2.654 -2.654 5.543
Sn O Sb
2 4 2
direct
0.750 0.250 0.500
0.500 0.500 0.000
0.625 0.655 0.750
0.905 0.375 0.250
0.345 0.875 0.250
0.125 0.095 0.750
0.000 0.000 0.000
0.250 0.750 0.500
```

***

[10]
The following is a DFT calculation (GGA-PBEsol) of crystalline ZnSnSbO2 at its relaxed geometry.

Calculated values
uncorrected formation energy = -354 meV per atom
M_tot = 0.000 μB/atom
space group = P4/mmm, No. 123

Geometry as POSCAR:
```
ZnSnSbO2
1.0
4.059 0.000 0.000
0.000 4.059 0.000
0.000 0.000 5.259
O Sb Sn Zn
2 1 1 1
direct
0.000 0.500 0.000
0.500 0.000 0.000
0.000 0.000 0.000
0.500 0.500 0.500
0.000 0.000 0.500
```

***

[11]
The following is a DFT calculation (GGA-PBEsol) of crystalline Sr2SbO at its relaxed geometry.

Calculated values
uncorrected formation energy = -1620 meV per atom
M_tot = 0.249 μB/atom
space group = I-42d, No. 122

Geometry as POSCAR:
```
Sr2SbO
1.0
6.698 0.034 0.054
-2.724 6.119 -0.054
-2.724 -2.601 5.539
Sr Sb O
4 2 2
direct
0.895 0.520 0.125
0.605 0.375 0.480
0.105 0.230 0.625
0.395 0.875 0.770
0.000 0.000 0.000
0.500 0.750 0.250
0.000 0.500 0.500
0.500 0.250 0.750
```

***

[12]
The following is a DFT calculation (GGA-PBEsol) of crystalline SrSb3O at its relaxed geometry.

Calculated values
uncorrected formation energy = 1380 meV per atom
M_tot = 0.358 μB/atom
space group = Pm-3m, No. 221

Geometry as POSCAR:
```
SrSb3O
1.0
5.911 0.000 0.000
0.000 5.911 0.000
0.000 0.000 5.911
Sb Sr O
3 1 1
direct
0.500 0.000 0.000
0.000 0.000 0.500
0.000 0.500 0.000
0.000 0.000 0.000
0.500 0.500 0.500
```